No. 1
The following is a GGA-PBEsol calculation of a relaxed AlReOs crystal, from the Alexandria database.

As for the density of states at the Fermi level: 1.2 states/eV/f.u. For the total energy, the calculation gives -0.74555 Ry per atom. The value obtained for the formation energy is -0.264 eV/atom.

POSCAR file:
```
AlReOs
1.0
-1.4334 1.4334 5.0896
1.4334 -1.4334 5.0896
1.4334 1.4334 -5.0896
Al Re Os
1 1 1
Cartesian
0.0000 0.0000 0.0000 Al
0.0000 0.0000 3.3451 Re
0.0000 0.0000 6.7509 Os
```

No. 2
The following is a GGA-PBEsol calculation of a relaxed InAg2 crystal, from the Alexandria database.

As for the density of states at the Fermi level: 0.7 states/eV/f.u. For the total energy, the calculation gives -0.23702 Ry per atom. The value obtained for the formation energy is -0.023 eV/atom.

POSCAR file:
```
InAg2
1.0
4.7126 0.0000 0.0000
-2.3563 4.0812 0.0000
0.0000 0.0000 5.7219
In Ag
2 4
Cartesian
0.0000 2.7208 1.4305 In
2.3563 1.3604 4.2914 In
0.0000 0.0000 0.0000 Ag
0.0000 0.0000 2.8609 Ag
0.0000 2.7208 4.2914 Ag
2.3563 1.3604 1.4305 Ag
```

No. 3
The following is a GGA-PBEsol calculation of a relaxed CrPtBr crystal, from the Alexandria database.

The value obtained for the formation energy from raw total energies is 0.13 eV per atom. As for the density of states at the Fermi level: 0.3 states/eV/f.u. For the total energy, the calculation gives -0.45795 Ry per atom.

POSCAR file:
```
CrPtBr
1.0
3.3856 0.0000 0.0000
-1.6928 2.9320 0.0000
0.0000 0.0000 5.6578
Cr Pt Br
1 1 1
Cartesian
0.0000 0.0000 0.0000 Cr
0.0000 1.9547 4.1801 Pt
1.6928 0.9773 1.6279 Br
```

No. 4
The following is a GGA-PBEsol calculation of a relaxed InBi2S4Br crystal, from the Alexandria database.

The value obtained for the formation energy from raw total energies is -0.52 eV per atom. As for the density of states at the Fermi level: 0.0 states/eV/f.u. For the total energy, the calculation gives -0.32289 Ry per atom.

POSCAR file:
```
InBi2S4Br
1.0
6.2248 -1.9537 0.0000
6.2248 1.9537 0.0000
-3.3649 0.0000 7.6561
In Bi S Br
1 2 4 1
Cartesian
0.0000 0.0000 0.0000 In
0.1366 0.0000 5.5613 Bi
8.9482 0.0000 2.0948 Bi
0.9136 0.0000 2.4432 S
4.4734 0.0000 0.4345 S
4.6113 0.0000 7.2216 S
8.1712 0.0000 5.2130 S
4.5424 0.0000 3.8281 Br
```

No. 5
The following is a GGA-PBEsol calculation of a relaxed Sn3GeSe crystal, from the Alexandria database.

The value obtained for the formation energy from raw total energies is 0.49 eV per atom. As for the density of states at the Fermi level: 2.8 states/eV/f.u. For the total energy, the calculation gives -0.28110 Ry per atom. Its energy above the most stable polymorph in this dataset is 0.000 eV per atom.

POSCAR file:
```
Sn3GeSe
1.0
5.2867 0.0000 0.0000
0.0000 5.2867 0.0000
0.0000 0.0000 5.2867
Sn Ge Se
3 1 1
Cartesian
0.0000 0.0000 2.6433 Sn
0.0000 2.6433 0.0000 Sn
2.6433 0.0000 0.0000 Sn
0.0000 0.0000 0.0000 Ge
2.6433 2.6433 2.6433 Se
```

No. 6
The following is a GGA-PBEsol calculation of a relaxed KCa2Y crystal, from the Alexandria database.

As for the density of states at the Fermi level: 5.6 states/eV/f.u. For the total energy, the calculation gives -0.19652 Ry per atom. The value obtained for the formation energy is 0.382 eV/atom. Its energy above the most stable polymorph in this dataset is 0.209 eV per atom.

POSCAR file:
```
KCa2Y
1.0
-2.6708 2.6708 5.7395
2.6708 -2.6708 5.7395
2.6708 2.6708 -5.7395
K Ca Y
1 2 1
Cartesian
0.0000 0.0000 0.0000 K
2.6708 0.0000 2.8697 Ca
0.0000 0.0000 5.7395 Ca
0.0000 2.6708 2.8697 Y
```

Total moment (μB per formula unit)
0.000 0.000 2.997 0.000 0.000 0.001